1.
This record from Alexandria via LeMat-Bulk describes a relaxed structure of PrErCd5. The functional is PBE.

## Properties
Volume = 27.2 A^3/atom
Crystal system = orthorhombic
Energy = -2.093 eV/atom
Energy of formation from the pure elements = -0.73 eV per formula unit
DOS(E_F) = 6.0 states/eV/cell

```
data_PrErCd5
_chemical_formula_sum 'Pr2 Er2 Cd10'
_space_group_name_H-M_alt 'C m m m'
_space_group_IT_number 65
_space_group_name_Hall '-C 2 2'
_cell_length_a 6.554
_cell_length_b 6.567
_cell_length_c 8.859
_cell_angle_alpha 90.00
_cell_angle_beta 90.00
_cell_angle_gamma 90.00
loop_
_atom_site_label
_atom_site_type_symbol
_atom_site_fract_x
_atom_site_fract_y
_atom_site_fract_z
_atom_site_occupancy
Pr1 Pr 0.000 0.000 0.000 1
Er1 Er 0.000 0.500 0.500 1
Cd1 Cd 0.000 0.000 0.500 1
Cd2 Cd 0.250 0.250 0.257 1
```

---

2.
This record from Alexandria via LeMat-Bulk describes a relaxed structure of PrEr2Cd3. The functional is PBE.

## Properties
Volume = 26.8 A^3/atom
Crystal system = orthorhombic
Energy = -3.083 eV/atom
Energy of formation from the pure elements = -1.85 eV per formula unit
Offset from the most stable computed form = 0.3 kJ per mole of atoms
DOS(E_F) = 26.9 states/eV/cell

```
data_PrEr2Cd3
_chemical_formula_sum 'Pr4 Er8 Cd12'
_space_group_name_H-M_alt 'C m m m'
_space_group_IT_number 65
_space_group_name_Hall '-C 2 2'
_cell_length_a 5.274
_cell_length_b 15.876
_cell_length_c 7.687
_cell_angle_alpha 90.00
_cell_angle_beta 90.00
_cell_angle_gamma 90.00
loop_
_atom_site_label
_atom_site_type_symbol
_atom_site_fract_x
_atom_site_fract_y
_atom_site_fract_z
_atom_site_occupancy
Pr1 Pr 0.000 0.165 0.000 1
Er1 Er 0.000 0.170 0.500 1
Er2 Er 0.000 0.500 0.000 1
Er3 Er 0.000 0.500 0.500 1
Cd1 Cd 0.000 0.000 0.265 1
Cd2 Cd 0.000 0.337 0.265 1
```

---

3.
This record from Alexandria via LeMat-Bulk describes a relaxed structure of Pr4ErCd2. The functional is PBE.

## Properties
Volume = 31.6 A^3/atom
Crystal system = triclinic
Energy = -3.731 eV/atom
Energy of formation from the pure elements = -0.60 eV per formula unit
DOS(E_F) = 16.7 states/eV/cell

```
data_Pr4ErCd2
_chemical_formula_sum 'Pr8 Er2 Cd4'
_space_group_name_H-M_alt 'P 1'
_space_group_IT_number 1
_cell_length_a 6.484
_cell_length_b 8.680
_cell_length_c 9.156
_cell_angle_alpha 64.63
_cell_angle_beta 74.42
_cell_angle_gamma 75.37
loop_
_space_group_symop_operation_xyz
'x,y,z'
loop_
_atom_site_label
_atom_site_type_symbol
_atom_site_fract_x
_atom_site_fract_y
_atom_site_fract_z
_atom_site_occupancy
Pr1 Pr 0.000 0.000 0.000 1
Pr2 Pr 0.022 0.217 0.253 1
Pr3 Pr 0.104 0.772 0.475 1
Pr4 Pr 0.272 0.214 0.543 1
Pr5 Pr 0.399 0.291 0.880 1
Pr6 Pr 0.519 0.829 0.092 1
Pr7 Pr 0.665 0.508 0.446 1
Pr8 Pr 0.969 0.626 0.903 1
Er1 Er 0.483 0.748 0.739 1
Er2 Er 0.773 0.056 0.671 1
Cd1 Cd 0.147 0.586 0.218 1
Cd2 Cd 0.564 0.396 0.132 1
Cd3 Cd 0.599 0.983 0.350 1
Cd4 Cd 0.882 0.391 0.759 1
```

---

Please write out number 2 again, unchanged.
This record from Alexandria via LeMat-Bulk describes a relaxed structure of PrEr2Cd3. The functional is PBE.

## Properties
Volume = 26.8 A^3/atom
Crystal system = orthorhombic
Energy = -3.083 eV/atom
Energy of formation from the pure elements = -1.85 eV per formula unit
Offset from the most stable computed form = 0.3 kJ per mole of atoms
DOS(E_F) = 26.9 states/eV/cell

```
data_PrEr2Cd3
_chemical_formula_sum 'Pr4 Er8 Cd12'
_space_group_name_H-M_alt 'C m m m'
_space_group_IT_number 65
_space_group_name_Hall '-C 2 2'
_cell_length_a 5.274
_cell_length_b 15.876
_cell_length_c 7.687
_cell_angle_alpha 90.00
_cell_angle_beta 90.00
_cell_angle_gamma 90.00
loop_
_atom_site_label
_atom_site_type_symbol
_atom_site_fract_x
_atom_site_fract_y
_atom_site_fract_z
_atom_site_occupancy
Pr1 Pr 0.000 0.165 0.000 1
Er1 Er 0.000 0.170 0.500 1
Er2 Er 0.000 0.500 0.000 1
Er3 Er 0.000 0.500 0.500 1
Cd1 Cd 0.000 0.000 0.265 1
Cd2 Cd 0.000 0.337 0.265 1
```